Record 1
MnBr, relaxed, DFT PBE-GGA; ΔE_f (raw) = 278 meV/atom; D(E_F) = 3.675 states/eV/cell; crystal system = tetragonal; symmetry = No. 87
1.0
-5.189 5.189 1.677
5.189 -5.189 1.677
5.189 5.189 -1.677
Mn Br
4 4
Cartesian
7.380 2.067 0.000
2.067 2.998 0.000
3.122 2.191 1.677
-2.191 3.122 1.677
4.989 2.600 0.000
2.589 -0.201 1.677
2.600 5.390 0.000
0.201 2.589 1.677

---

Record 2
NiIBr, relaxed, DFT PBE-GGA; ΔE_f (raw) = -190 meV/atom; D(E_F) = 0.261 states/eV/cell; crystal system = triclinic; symmetry = No. 2
1.0
3.836 0.000 0.000
1.918 3.322 0.000
1.854 1.110 13.928
Ni I Br
2 2 2
Cartesian
1.913 1.111 3.640
5.695 3.322 10.288
3.776 2.214 11.822
3.832 2.218 2.106
1.860 1.105 8.925
5.748 3.327 5.003

---

Record 3
CaNi2Rh2, relaxed, DFT PBE-GGA; D(E_F) = 13.751 states/eV/cell; crystal system = tetragonal; symmetry = No. 127; ΔE_f = -6.3 meV per atom
1.0
7.402 0.000 0.000
0.000 7.402 0.000
0.000 0.000 2.764
Ca Ni Rh
2 4 4
Cartesian
0.000 0.000 0.000
3.701 3.701 0.000
1.275 2.426 1.382
2.426 6.127 1.382
4.976 1.275 1.382
6.127 4.976 1.382
0.934 4.635 0.000
2.767 0.934 0.000
4.635 6.468 0.000
6.468 2.767 0.000

---

Record 4
PrDyTmTl, relaxed, DFT PBE-GGA; D(E_F) = 5.681 states/eV/cell; crystal system = orthorhombic; symmetry = No. 47; ΔE_f = -177.0 meV per atom
1.0
4.832 0.000 0.000
0.000 4.897 0.000
0.000 0.000 4.957
Pr Dy Tm Tl
1 1 1 1
Cartesian
0.000 0.000 0.000
2.416 2.449 0.000
2.416 0.000 2.478
0.000 2.449 2.478

---

Record 5
Mn2GeN, relaxed, DFT PBE-GGA; ΔE_f (raw) = -81 meV/atom; D(E_F) = 3.044 states/eV/cell; crystal system = orthorhombic; symmetry = No. 25
1.0
2.616 0.000 0.000
0.000 2.710 0.000
0.000 0.000 6.100
Mn Ge N
2 1 1
Cartesian
0.000 0.000 0.000
0.000 1.355 2.187
1.308 1.355 4.357
1.308 0.000 1.489

---

Record 6
CuPO, relaxed, DFT PBE-GGA; ΔE_f (raw) = -634 meV/atom; D(E_F) = 0.675 states/eV/cell; crystal system = monoclinic; symmetry = No. 8
1.0
3.456 -1.496 0.000
3.456 1.496 0.000
-1.576 0.000 4.115
Cu P O
1 1 1
Cartesian
0.000 0.000 0.000
3.299 0.000 3.085
3.280 0.000 1.521

---

Record 7
CeP2Ir3, relaxed, DFT PBE-GGA; D(E_F) = 11.083 states/eV/cell; crystal system = monoclinic; symmetry = No. 12; ΔE_f = -864.9 meV per atom
1.0
7.997 -1.977 0.000
7.997 1.977 0.000
-3.084 0.000 9.221
Ce P Ir
3 6 9
Cartesian
0.000 0.000 0.000
0.323 0.000 6.426
12.587 0.000 2.796
2.780 0.000 1.174
4.146 0.000 5.045
6.687 0.000 2.036
6.223 0.000 7.185
8.764 0.000 4.176
10.130 0.000 8.048
-0.322 0.000 3.037
2.425 0.000 3.597
5.030 0.000 0.397
3.563 0.000 7.293
6.455 0.000 4.611
9.347 0.000 1.928
7.880 0.000 8.824
10.485 0.000 5.624
13.232 0.000 6.185

---

Record 8
NbPbIO6, relaxed, DFT PBE-GGA; ΔE_f (raw) = -1392 meV/atom; D(E_F) = 0.000 states/eV/cell; crystal system = trigonal; symmetry = No. 143
1.0
5.655 0.000 0.000
-2.828 4.897 0.000
0.000 0.000 5.444
Nb Pb I O
1 1 1 6
Cartesian
0.000 0.000 0.000
2.828 1.632 2.311
0.000 3.265 4.901
-1.574 3.691 3.963
0.418 1.688 3.963
1.678 0.160 0.832
1.156 4.415 3.963
2.127 3.364 0.832
4.677 1.373 0.832

---

Record 9
ZrTiMoPd, relaxed, DFT PBE-GGA; D(E_F) = 2.098 states/eV/cell; crystal system = cubic; symmetry = No. 216; ΔE_f = -336.4 meV per atom
1.0
0.000 3.249 3.249
3.249 0.000 3.249
3.249 3.249 0.000
Zr Ti Mo Pd
1 1 1 1
Cartesian
0.000 0.000 0.000
3.249 3.249 3.249
1.624 1.624 1.624
4.873 4.873 4.873

---

Record 10
Ta2ReMo, relaxed, DFT PBE-GGA; D(E_F) = 6.819 states/eV/cell; crystal system = tetragonal; symmetry = No. 122; ΔE_f = 676.0 meV per atom
1.0
-3.614 3.614 2.766
3.614 -3.614 2.766
3.614 3.614 -2.766
Ta Re Mo
4 2 2
Cartesian
5.420 1.752 -0.692
1.752 1.807 0.692
-1.807 1.862 2.075
1.862 1.807 3.458
0.000 0.000 0.000
0.000 3.614 1.383
3.614 0.000 1.383
0.000 0.000 2.766

---

Record 11
NaPt3, relaxed, DFT PBE-GGA; D(E_F) = 9.165 states/eV/cell; crystal system = orthorhombic; symmetry = No. 63; ΔE_f = -76.8 meV per atom
1.0
4.112 -3.784 0.000
4.112 3.784 0.000
0.000 0.000 4.136
Na Pt
2 6
Cartesian
4.112 3.024 3.102
4.112 -3.024 1.034
2.236 0.996 3.102
4.112 1.027 1.034
2.236 -0.996 1.034
5.988 0.996 3.102
4.112 -1.027 3.102
5.988 -0.996 1.034

---

Record 12
LiScPb, relaxed, DFT PBE-GGA; D(E_F) = 0.000 states/eV/cell; crystal system = cubic; symmetry = No. 216; ΔE_f = 32.6 meV per atom
1.0
0.000 3.417 3.417
3.417 0.000 3.417
3.417 3.417 0.000
Li Sc Pb
1 1 1
Cartesian
0.000 0.000 0.000
1.709 1.709 1.709
3.417 3.417 3.417

---

Record 13
Y2TiAl, relaxed, DFT PBE-GGA; D(E_F) = 4.578 states/eV/cell; crystal system = tetragonal; symmetry = No. 123; ΔE_f = -68.6 meV per atom
1.0
4.668 0.000 0.000
0.000 4.668 0.000
0.000 0.000 4.389
Y Ti Al
2 1 1
Cartesian
0.000 2.334 0.000
2.334 0.000 0.000
0.000 0.000 2.195
2.334 2.334 2.195

---

Record 14
NaRe2B, relaxed, DFT PBE-GGA; D(E_F) = 5.096 states/eV/cell; crystal system = cubic; symmetry = No. 225; ΔE_f = 1563.6 meV per atom
1.0
0.000 2.949 2.949
2.949 0.000 2.949
2.949 2.949 0.000
Na Re B
1 2 1
Cartesian
0.000 0.000 0.000
1.474 1.474 1.474
4.423 4.423 4.423
2.949 2.949 2.949

---

Record 15
YCr2W, relaxed, DFT PBE-GGA; D(E_F) = 4.030 states/eV/cell; crystal system = monoclinic; symmetry = No. 12; ΔE_f = 540.1 meV per atom
1.0
4.613 -1.581 0.000
4.613 1.581 0.000
-1.654 0.000 5.073
Y Cr W
1 2 1
Cartesian
0.000 0.000 0.000
0.993 0.000 3.206
6.580 0.000 1.867
3.787 0.000 2.537

---

Record 16
HgSb2Br, relaxed, DFT PBE-GGA; ΔE_f (raw) = 225 meV/atom; D(E_F) = 1.690 states/eV/cell; crystal system = cubic; symmetry = No. 225
1.0
0.000 3.740 3.740
3.740 0.000 3.740
3.740 3.740 0.000
Hg Sb Br
1 2 1
Cartesian
0.000 0.000 0.000
1.870 1.870 1.870
5.611 5.611 5.611
3.740 3.740 3.740

---

Record 17
Tb3Pr2SmTm6, relaxed, DFT PBE-GGA; D(E_F) = 14.513 states/eV/cell; crystal system = monoclinic; symmetry = No. 12; ΔE_f = 21.2 meV per atom
1.0
3.086 -5.342 0.000
3.086 5.342 0.000
-2.050 0.000 11.513
Tb Pr Sm Tm
3 2 1 6
Cartesian
0.000 0.000 0.000
3.086 1.781 0.000
3.086 -1.781 0.000
2.061 3.562 5.756
2.061 -3.562 5.756
2.061 0.000 5.756
1.028 1.779 2.842
0.012 0.000 8.673
1.028 -1.779 2.842
3.095 1.779 8.671
4.111 0.000 2.840
3.095 -1.779 8.671

---

Record 18
TbCePmTh, relaxed, DFT PBE-GGA; D(E_F) = 13.365 states/eV/cell; crystal system = cubic; symmetry = No. 216; ΔE_f = 230.2 meV per atom
1.0
0.000 4.015 4.015
4.015 0.000 4.015
4.015 4.015 0.000
Tb Ce Pm Th
1 1 1 1
Cartesian
0.000 0.000 0.000
4.015 4.015 4.015
6.022 6.022 6.022
2.007 2.007 2.007

---

Record 19
Ba6Ag2Pt, relaxed, DFT PBE-GGA; D(E_F) = 13.724 states/eV/cell; crystal system = monoclinic; symmetry = No. 14; ΔE_f = -344.8 meV per atom
1.0
7.926 0.000 0.000
0.000 8.886 0.000
-7.574 0.000 11.809
Ba Ag Pt
12 4 2
Cartesian
-1.071 0.358 2.902
-4.858 4.084 8.806
1.309 6.127 0.813
-2.478 7.202 6.717
2.600 1.529 0.751
-1.187 2.914 6.656
1.539 5.971 5.153
-2.248 7.357 11.058
2.829 1.684 5.092
-0.958 2.759 10.996
5.210 4.801 3.003
1.423 8.527 8.907
-3.258 1.012 8.911
0.529 3.431 3.006
-0.177 5.455 8.803
3.610 7.874 2.898
0.000 0.000 0.000
-3.787 4.443 5.904

---

Record 20
SnPC, relaxed, DFT PBE-GGA; D(E_F) = 0.643 states/eV/cell; crystal system = monoclinic; symmetry = No. 8; ΔE_f = 769.8 meV per atom
1.0
3.095 -1.806 0.000
3.095 1.806 0.000
-0.427 0.000 4.719
Sn P C
1 1 1
Cartesian
0.000 0.000 0.000
1.894 0.000 2.747
2.046 0.000 1.051

---

Result set for VASP energy: -10.29 -9.58 -28.30 -16.93 -31.61 -16.37 -48.53 -57.60 -33.81 -44.28 -19.75 -11.86 -24.84 -26.64 -36.50 -9.32 -54.74 -21.81 -26.38 -16.33 eV per formula unit, one per record in the order listed.
Result set for total magnetic moment: 3.59 4.01 1.98 0.00 1.90 0.00 0.90 0.00 0.00 0.00 0.00 0.00 1.72 0.00 0.00 0.00 0.00 2.11 0.00 0.00 Bohr magnetons per cell, one per record in the order listed.